No. 1
First-principles (PBE-GGA) data for an optimized crystal structure of Sm5HgTe4, as listed in Alexandria.

Cell and atoms, written as CIF:
```
data_Sm5HgTe4
_chemical_formula_sum 'Sm10 Hg2 Te8'
_space_group_name_H-M_alt 'I 4/m m m'
_space_group_IT_number 139
_space_group_name_Hall '-I 4 2'
_cell_length_a 4.432
_cell_length_b 4.432
_cell_length_c 31.435
_cell_angle_alpha 90.00
_cell_angle_beta 90.00
_cell_angle_gamma 90.00
loop_
_atom_site_label
_atom_site_fract_x
_atom_site_fract_y
_atom_site_fract_z
_atom_site_occupancy
Sm1 0.000 0.000 0.000 1
Sm2 0.000 0.000 0.198 1
Sm3 0.000 0.000 0.401 1
Hg1 0.000 0.000 0.500 1
Te1 0.000 0.000 0.100 1
Te2 0.000 0.000 0.300 1
```

Calculated values
As for the total energy: -4.848 eV/atom. The energy above the most stable polymorph in this dataset is 0.28 eV/f.u. Its density of states at the Fermi level is 8.48 states/eV per cell. The mass density comes out at 7.87 g/cm3.

No. 2
First-principles (PBE-GGA) data for an optimized crystal structure of SmHgTe, as listed in Alexandria.

Cell and atoms, written as CIF:
```
data_SmHgTe
_chemical_formula_sum 'Sm4 Hg4 Te4'
_space_group_name_H-M_alt 'C m c m'
_space_group_IT_number 63
_space_group_name_Hall '-C 2c 2'
_cell_length_a 3.830
_cell_length_b 27.965
_cell_length_c 4.514
_cell_angle_alpha 90.00
_cell_angle_beta 90.00
_cell_angle_gamma 90.00
loop_
_atom_site_label
_atom_site_fract_x
_atom_site_fract_y
_atom_site_fract_z
_atom_site_occupancy
Sm1 0.000 0.120 0.250 1
Hg1 0.000 0.468 0.750 1
Te1 0.000 0.188 0.750 1
```

Calculated values
As for the total energy: -3.022 eV/atom. The energy above the most stable polymorph in this dataset is 1.85 eV/f.u. Its density of states at the Fermi level is 9.73 states/eV per cell. The mass density comes out at 6.58 g/cm3.

No. 3
First-principles (PBE-GGA) data for an optimized crystal structure of Sm4HgTe2, as listed in Alexandria.

Cell and atoms, written as CIF:
```
data_Sm4HgTe2
_chemical_formula_sum 'Sm16 Hg4 Te8'
_space_group_name_H-M_alt 'I -4 2 d'
_space_group_IT_number 122
_space_group_name_Hall 'I -4 2bw'
_cell_length_a 9.309
_cell_length_b 9.309
_cell_length_c 9.456
_cell_angle_alpha 90.00
_cell_angle_beta 90.00
_cell_angle_gamma 90.00
loop_
_atom_site_label
_atom_site_fract_x
_atom_site_fract_y
_atom_site_fract_z
_atom_site_occupancy
Sm1 0.070 0.680 0.448 1
Hg1 0.000 0.000 0.500 1
Te1 0.123 0.750 0.125 1
```

Calculated values
As for the total energy: -4.543 eV/atom. Its density of states at the Fermi level is 26.77 states/eV per cell. The mass density comes out at 8.57 g/cm3.

No. 4
First-principles (PBE-GGA) data for an optimized crystal structure of Sm3HgTe6, as listed in Alexandria.

Cell and atoms, written as CIF:
```
data_Sm3HgTe6
_chemical_formula_sum 'Sm12 Hg4 Te24'
_space_group_name_H-M_alt 'C m c 21'
_space_group_IT_number 36
_space_group_name_Hall 'C 2c -2'
_cell_length_a 12.045
_cell_length_b 15.341
_cell_length_c 7.403
_cell_angle_alpha 90.00
_cell_angle_beta 90.00
_cell_angle_gamma 90.00
loop_
_atom_site_label
_atom_site_fract_x
_atom_site_fract_y
_atom_site_fract_z
_atom_site_occupancy
Sm1 0.000 0.096 0.000 1
Sm2 0.179 0.406 0.886 1
Hg1 0.000 0.287 0.358 1
Te1 0.000 0.270 0.738 1
Te2 0.000 0.464 0.193 1
Te3 0.162 0.038 0.694 1
Te4 0.186 0.231 0.141 1
```

Calculated values
As for the total energy: -4.366 eV/atom. Its density of states at the Fermi level is 28.55 states/eV per cell. The mass density comes out at 6.88 g/cm3.

No. 5
First-principles (PBE-GGA) data for an optimized crystal structure of Sm3HgTe2, as listed in Alexandria.

Cell and atoms, written as CIF:
```
data_Sm3HgTe2
_chemical_formula_sum 'Sm48 Hg16 Te32'
_space_group_name_H-M_alt 'F d d d'
_space_group_IT_number 70
_cell_length_a 8.955
_cell_length_b 12.538
_cell_length_c 26.286
_cell_angle_alpha 90.00
_cell_angle_beta 90.00
_cell_angle_gamma 90.00
loop_
_space_group_symop_operation_xyz
'x,y,z'
'-x,-y,-z'
'-x+1/4,-y+1/4,z'
'x+1/4,y+1/4,-z'
'x,-y+1/4,-z+1/4'
'-x,y+1/4,z+1/4'
'-x+1/4,y,-z+1/4'
'x+1/4,-y,z+1/4'
'x,y+1/2,z+1/2'
'-x,-y+1/2,-z+1/2'
'-x+1/4,-y+3/4,z+1/2'
'x+1/4,y+3/4,-z+1/2'
'x,-y+3/4,-z+3/4'
'-x,y+3/4,z+3/4'
'-x+1/4,y+1/2,-z+3/4'
'x+1/4,-y+1/2,z+3/4'
'x+1/2,y,z+1/2'
'-x+1/2,-y,-z+1/2'
'-x+3/4,-y+1/4,z+1/2'
'x+3/4,y+1/4,-z+1/2'
'x+1/2,-y+1/4,-z+3/4'
'-x+1/2,y+1/4,z+3/4'
'-x+3/4,y,-z+3/4'
'x+3/4,-y,z+3/4'
'x+1/2,y+1/2,z'
'-x+1/2,-y+1/2,-z'
'-x+3/4,-y+3/4,z'
'x+3/4,y+3/4,-z'
'x+1/2,-y+3/4,-z+1/4'
'-x+1/2,y+3/4,z+1/4'
'-x+3/4,y+1/2,-z+1/4'
'x+3/4,-y+1/2,z+1/4'
loop_
_atom_site_label
_atom_site_fract_x
_atom_site_fract_y
_atom_site_fract_z
_atom_site_occupancy
Sm1 0.122 0.375 0.375 1
Sm2 0.123 0.374 0.209 1
Hg1 0.125 0.125 0.042 1
Te1 0.125 0.125 0.376 1
Te2 0.125 0.125 0.543 1
```

Calculated values
As for the total energy: -4.538 eV/atom. The energy above the most stable polymorph in this dataset is 0.07 eV/f.u. Its density of states at the Fermi level is 66.47 states/eV per cell. The mass density comes out at 8.16 g/cm3.

No. 6
First-principles (PBE-GGA) data for an optimized crystal structure of Sm5HgTe4, as listed in Alexandria.

Cell and atoms, written as CIF:
```
data_Sm5HgTe4
_chemical_formula_sum 'Sm10 Hg2 Te8'
_space_group_name_H-M_alt 'I 4/m'
_space_group_IT_number 87
_space_group_name_Hall '-I 4'
_cell_length_a 9.920
_cell_length_b 9.920
_cell_length_c 6.279
_cell_angle_alpha 90.00
_cell_angle_beta 90.00
_cell_angle_gamma 90.00
loop_
_atom_site_label
_atom_site_fract_x
_atom_site_fract_y
_atom_site_fract_z
_atom_site_occupancy
Sm1 0.000 0.000 0.000 1
Sm2 0.099 0.707 0.500 1
Hg1 0.000 0.000 0.500 1
Te1 0.096 0.698 0.000 1
```

Calculated values
As for the total energy: -4.877 eV/atom. The energy above the most stable polymorph in this dataset is 0.00 eV/f.u. Its density of states at the Fermi level is 7.47 states/eV per cell. The mass density comes out at 7.86 g/cm3.

No. 7
First-principles (PBE-GGA) data for an optimized crystal structure of SmHgTe, as listed in Alexandria.

Cell and atoms, written as CIF:
```
data_SmHgTe
_chemical_formula_sum 'Sm1 Hg1 Te1'
_space_group_name_H-M_alt 'P 3 m 1'
_space_group_IT_number 156
_space_group_name_Hall 'P 3 -2"'
_cell_length_a 5.0224
_cell_length_b 5.0224
_cell_length_c 3.9980
_cell_angle_alpha 90.00
_cell_angle_beta 90.00
_cell_angle_gamma 120.00
loop_
_atom_site_label
_atom_site_fract_x
_atom_site_fract_y
_atom_site_fract_z
_atom_site_occupancy
Sm1 0.0000 0.0000 0.0000 1
Hg1 0.3333 0.6667 0.2900 1
Te1 0.6667 0.3333 0.5787 1
```

Calculated values
As for the total energy: -3.321 eV/atom. The energy above the most stable polymorph in this dataset is 0.95 eV/f.u. Its density of states at the Fermi level is 2.22 states/eV per cell. The mass density comes out at 9.10 g/cm3.

No. 8
First-principles (PBE-GGA) data for an optimized crystal structure of Sm2Tl3HgTe6, as listed in Alexandria.

Cell and atoms, written as CIF:
```
data_Sm2Tl3HgTe6
_chemical_formula_sum 'Sm4 Tl6 Hg2 Te12'
_space_group_name_H-M_alt 'C 1 2/m 1'
_space_group_IT_number 12
_space_group_name_Hall '-C 2y'
_cell_length_a 7.814
_cell_length_b 13.564
_cell_length_c 8.345
_cell_angle_alpha 90.00
_cell_angle_beta 108.51
_cell_angle_gamma 90.00
loop_
_atom_site_label
_atom_site_fract_x
_atom_site_fract_y
_atom_site_fract_z
_atom_site_occupancy
Sm1 0.000 0.165 0.000 1
Tl1 0.000 0.000 0.500 1
Tl2 0.000 0.326 0.500 1
Hg1 0.000 0.500 0.000 1
Te1 0.238 0.335 0.220 1
Te2 0.242 0.000 0.229 1
```

Calculated values
As for the total energy: -3.668 eV/atom. Its density of states at the Fermi level is 13.78 states/eV per cell. The mass density comes out at 7.45 g/cm3.

No. 9
First-principles (PBE-GGA) data for an optimized crystal structure of SmTl2Hg2Te4, as listed in Alexandria.

Cell and atoms, written as CIF:
```
data_SmTl2Hg2Te4
_chemical_formula_sum 'Sm2 Tl4 Hg4 Te8'
_space_group_name_H-M_alt 'C 1 2/m 1'
_space_group_IT_number 12
_space_group_name_Hall '-C 2y'
_cell_length_a 16.425
_cell_length_b 4.520
_cell_length_c 8.528
_cell_angle_alpha 90.00
_cell_angle_beta 107.33
_cell_angle_gamma 90.00
loop_
_atom_site_label
_atom_site_fract_x
_atom_site_fract_y
_atom_site_fract_z
_atom_site_occupancy
Sm1 0.000 0.000 0.000 1
Tl1 0.130 0.000 0.558 1
Hg1 0.164 0.500 0.978 1
Te1 0.002 0.500 0.265 1
Te2 0.205 0.000 0.211 1
```

Calculated values
As for the total energy: -2.994 eV/atom. Its density of states at the Fermi level is 5.09 states/eV per cell. The mass density comes out at 8.08 g/cm3.

No. 10
First-principles (PBE-GGA) data for an optimized crystal structure of SmTh3Hg6, as listed in Alexandria.

Cell and atoms, written as CIF:
```
data_SmTh3Hg6
_chemical_formula_sum 'Sm2 Th6 Hg12'
_space_group_name_H-M_alt 'P 1 21/m 1'
_space_group_IT_number 11
_space_group_name_Hall '-P 2yb'
_cell_length_a 9.911
_cell_length_b 5.001
_cell_length_c 10.957
_cell_angle_alpha 90.00
_cell_angle_beta 99.65
_cell_angle_gamma 90.00
loop_
_atom_site_label
_atom_site_fract_x
_atom_site_fract_y
_atom_site_fract_z
_atom_site_occupancy
Sm1 0.056 0.250 0.382 1
Th1 0.237 0.250 0.994 1
Th2 0.353 0.750 0.788 1
Th3 0.468 0.250 0.604 1
Hg1 0.050 0.750 0.900 1
Hg2 0.147 0.750 0.198 1
Hg3 0.148 0.250 0.681 1
Hg4 0.235 0.750 0.498 1
Hg5 0.340 0.250 0.291 1
Hg6 0.448 0.750 0.089 1
```

Calculated values
The value obtained for the formation energy is -243.3 kJ/mol of formula units. As for the total energy: -3.131 eV/atom. Its density of states at the Fermi level is 19.19 states/eV per cell. The mass density comes out at 12.72 g/cm3.